Record 1
Below is a geometry-optimized TiFeAs structure, with properties calculated at the PBE level.

Lattice parameters (Å, degrees): 6.327 6.327 3.576 90.00 90.00 120.00
Fractional positions:
Ti 0.000 0.413 0.000
Ti 0.413 0.000 0.000
Ti 0.587 0.587 0.000
Fe 0.000 0.750 0.500
Fe 0.250 0.250 0.500
Fe 0.750 0.000 0.500
As 0.000 0.000 0.000
As 0.333 0.667 0.500
As 0.667 0.333 0.500

Values from the calculation:
- Spin magnetization: 1.1 μB/f.u.
- DFT formation energy: -0.674 eV per atom
- Raw total energy: -23.03 eV per formula unit

---

Record 2
Below is a geometry-optimized Ca5Cl structure, with properties calculated at the PBE level.

Lattice parameters (Å, degrees): 6.289 10.409 10.409 21.66 90.00 90.00
Fractional positions:
Ca 0.000 0.000 0.000
Ca 0.000 0.333 0.333
Ca 0.000 0.665 0.665
Ca 0.500 0.222 0.222
Ca 0.500 0.556 0.556
Cl 0.500 0.962 0.962

Values from the calculation:
- Spin magnetization: 0.0 μB/f.u.
- Raw total energy: -14.14 eV per formula unit
- Raw formation energy: -37 kJ per mole of atoms

---

Record 3
Below is a geometry-optimized Sm7Ga2Bi2 structure, with properties calculated at the PBE level.

Lattice parameters (Å, degrees): 7.279 7.279 6.941 90.00 90.00 100.68
Fractional positions:
Sm 0.000 0.000 0.000
Sm 0.000 0.500 0.259
Sm 0.000 0.500 0.741
Sm 0.500 0.000 0.259
Sm 0.500 0.000 0.741
Sm 0.500 0.500 0.243
Sm 0.500 0.500 0.757
Ga 0.272 0.728 0.000
Ga 0.728 0.272 0.000
Bi 0.192 0.192 0.500
Bi 0.808 0.808 0.500

Values from the calculation:
- Spin magnetization: 0.0 μB/f.u.
- DFT formation energy: -0.290 eV per atom
- Raw total energy: -50.04 eV per formula unit

---

Question: Look up the spin magnetization of the second one.
Answer: 0.0 μB/f.u.